Record 1
Entry from Alexandria via LeMat-Bulk: an optimized crystal structure of NaTmGe2 (PBE-GGA).

```
NaTmGe2
1.0
4.4622 0.0000 0.0000
0.0000 4.4622 0.0000
0.0000 0.0000 4.1677
Na Tm Ge
1 1 2
direct
0.0000 0.0000 0.0000
0.5000 0.5000 0.0000
0.0000 0.5000 0.5000
0.5000 0.0000 0.5000
```

Values from the calculation:
Formation enthalpy at 0 K in eV/atom: -0.347
Raw total energy in eV/atom: -4.103
Polymorph energy (0 for the lowest one) in meV per atom: 0


Record 2
Entry from Alexandria via LeMat-Bulk: an optimized crystal structure of URe2C (PBE-GGA).

```
URe2C
1.0
1.4693 -4.9687 0.0000
1.4693 4.9687 0.0000
0.0000 0.0000 7.9730
U Re C
2 4 2
direct
0.0680 0.9320 0.7500
0.9320 0.0680 0.2500
0.3515 0.6485 0.5663
0.3515 0.6485 0.9337
0.6485 0.3515 0.0663
0.6485 0.3515 0.4337
0.2114 0.7886 0.2500
0.7886 0.2114 0.7500
```

Values from the calculation:
Formation enthalpy at 0 K in eV/atom: 0.309
Raw total energy in eV/atom: -11.043


Record 3
Entry from Alexandria via LeMat-Bulk: an optimized crystal structure of ZnGa3Pb (PBE-GGA).

```
ZnGa3Pb
1.0
5.6301 0.0000 0.0000
0.0000 5.6301 0.0000
0.0000 0.0000 5.6301
Zn Ga Pb
1 3 1
direct
0.0000 0.0000 0.0000
0.0000 0.5000 0.5000
0.5000 0.0000 0.5000
0.5000 0.5000 0.0000
0.5000 0.5000 0.5000
```

Values from the calculation:
Formation enthalpy at 0 K in eV/atom: 0.714
Raw total energy in eV/atom: -2.098
Polymorph energy (0 for the lowest one) in meV per atom: 664


Record 4
Entry from Alexandria via LeMat-Bulk: an optimized crystal structure of K3Nd2PbO6 (PBE-GGA).

```
K3Nd2PbO6
1.0
3.1458 -5.4474 0.0000
3.1458 5.4474 0.0000
-2.0901 0.0000 6.3270
K Nd Pb O
3 2 1 6
direct
0.0000 0.0000 0.0000
0.3376 0.6624 0.0000
0.6624 0.3376 0.0000
0.1669 0.8331 0.5000
0.8331 0.1669 0.5000
0.5000 0.5000 0.5000
0.0938 0.4343 0.3026
0.2251 0.2251 0.6970
0.4343 0.0938 0.3026
0.5657 0.9062 0.6974
0.7749 0.7749 0.3030
0.9062 0.5657 0.6974
```

Values from the calculation:
Raw total energy in eV/atom: -5.959


Please write out number 1 again, unchanged.
Entry from Alexandria via LeMat-Bulk: an optimized crystal structure of NaTmGe2 (PBE-GGA).

```
NaTmGe2
1.0
4.4622 0.0000 0.0000
0.0000 4.4622 0.0000
0.0000 0.0000 4.1677
Na Tm Ge
1 1 2
direct
0.0000 0.0000 0.0000
0.5000 0.5000 0.0000
0.0000 0.5000 0.5000
0.5000 0.0000 0.5000
```

Values from the calculation:
Formation enthalpy at 0 K in eV/atom: -0.347
Raw total energy in eV/atom: -4.103
Polymorph energy (0 for the lowest one) in meV per atom: 0